Pm2EuDy | PBE | optimized geometry

abc: 3.665 3.665 10.426
angles: 90.00 90.00 90.00
Site moments in Bohr magnetons follow the coordinates.
Fractional positions:
Pm 0.000 0.000 0.765  -0.03
Pm 0.000 0.000 0.235  -0.03
Eu 0.500 0.500 0.500  -6.95
Dy 0.500 0.500 0.000  0.10

- Uncorrected energy: -6.06 eV/atom
- Symmetry: P4/mmm
- DOS at the Fermi energy: 5.03 states/eV per cell
- Crystal system: tetragonal
- Formation energy: 39 meV per atom